No. 1
The following is a GGA-PBE calculation of a relaxed structure of CsYTa3, from Alexandria via LeMat-Bulk.

It has space group Pm-3m (No. 221), with a = 5.2736 Å, b = 5.2736 Å, c = 5.2736 Å, α = 90.00°, β = 90.00° and γ = 90.00°. The inequivalent atoms are Cs at (0.0000, 0.0000, 0.0000), Y at (0.5000, 0.5000, 0.5000) and Ta at (0.0000, 0.5000, 0.5000).

The calculation puts the excess energy over the best structure of this formula in the dataset at 0 meV per atom. The calculation puts the formation energy at 2.56 eV per atom. The volume comes out at 29.33 A^3/atom.


No. 2
The following is a GGA-PBE calculation of a relaxed structure of CsY3Ta, from Alexandria via LeMat-Bulk.

It has space group Pm-3m (No. 221), with a = 5.4567 Å, b = 5.4567 Å, c = 5.4567 Å, α = 90.00°, β = 90.00° and γ = 90.00°. The inequivalent atoms are Cs at (0.0000, 0.0000, 0.0000), Y at (0.0000, 0.0000, 0.5000) and Ta at (0.5000, 0.5000, 0.5000).

The calculation puts the excess energy over the best structure of this formula in the dataset at 1168 meV per atom. The calculation puts the formation energy at 1.90 eV per atom. The volume comes out at 32.50 A^3/atom.